Compound: Ac2ThNpN6
Source: Alexandria via LeMat-Bulk
Functional: PBE
Structure: relaxed

## Properties
- formation energy without anion corrections (meV/atom) = -1141.0
- M_tot (μB per atom) = 0.000
- N(E_F) (states/eV/cell) = 18.0
- mass density (Mg/m³) = 10.0
- volume (Å³ per atom) = 16.69

Unit cell a=6.1571 b=6.2044 c=10.6467 alpha=90.00 beta=124.82 gamma=90.00
Last column: nearest neighbours and their distance in Å.
Space group P2_1/c (No. 14)
Symmetry-distinct sites (fractional):
Ac1 0.2396 0.0358 0.2499 [4 per cell]  6 N 2.61-2.92
Th1 0.5000 0.0000 0.0000 [2 per cell]  6 N 2.38-2.41
Np1 0.0000 0.0000 0.5000 [2 per cell]  6 N 2.09-2.14
N1 0.1427 0.2251 0.9460 [4 per cell]  1 Np 2.14, 1 Th 2.38
N2 0.2223 0.6945 0.9530 [4 per cell]  1 Np 2.09
N3 0.3255 0.0311 0.7329 [4 per cell]  1 Np 2.13

Compound: Hg4TeSeI2
Source: Alexandria via LeMat-Bulk
Functional: PBE
Structure: relaxed

## Properties
- formation energy without anion corrections (meV/atom) = -161.4
- M_tot (μB per atom) = 0.000
- mass density (Mg/m³) = 6.8
- volume (Å³ per atom) = 38.54

Unit cell a=11.3918 b=7.3035 c=7.4117 alpha=90.00 beta=90.00 gamma=90.00
Last column: nearest neighbours and their distance in Å.
Space group Pmn2_1 (No. 31)
Symmetry-distinct sites (fractional):
Hg1 0.0000 0.0401 0.0000 [2 per cell]  1 Se 2.54, 1 Te 2.71
Hg2 0.0000 0.9185 0.4585 [2 per cell]  1 Se 2.67, 1 Te 2.85
Hg3 0.2444 0.7375 0.7928 [4 per cell]  1 Se 2.79, 1 Te 2.91
Te1 0.0000 0.2682 0.2885 [2 per cell]  4 Hg 2.71-2.91
Se1 0.0000 0.7671 0.7868 [2 per cell]  4 Hg 2.54-2.79
I1 0.2170 0.7530 0.2980 [4 per cell]  1 Hg 3.00

Compound: Sc5In2Pt2Rh
Source: Alexandria via LeMat-Bulk
Functional: PBE
Structure: relaxed

## Properties
- M_tot (μB per atom) = 0.000
- N(E_F) (states/eV/cell) = 10.6
- mass density (Mg/m³) = 7.6
- uncorrected energy (eV per atom) = -6.49
- volume (Å³ per atom) = 20.79

Unit cell a=11.2211 b=11.2211 c=3.3016 alpha=90.00 beta=90.00 gamma=90.00
Last column: nearest neighbours and their distance in Å.
Space group P4/mbm (No. 127)
Symmetry-distinct sites (fractional):
Sc1 0.0000 0.5000 0.0000 [2 per cell]  4 Pt 2.69
Sc2 0.0661 0.1893 0.0000 [8 per cell]  2 Pt 2.69, 2 Rh 2.79
In1 0.1733 0.6733 0.5000 [4 per cell]  1 Pt 3.06, 6 Sc 3.21-3.36, 2 In 3.30
Pt1 0.1342 0.3658 0.5000 [4 per cell]  6 Sc 2.69
Rh1 0.0000 0.0000 0.5000 [2 per cell]  8 Sc 2.79

Compound: TcSbRh
Source: Alexandria via LeMat-Bulk
Functional: PBE
Structure: relaxed

## Properties
- formation energy without anion corrections (meV/atom) = 139.7
- energy above the lowest structure with this stoichiometry (eV/f.u.) = 0.00
- M_tot (μB per atom) = 0.000
- N(E_F) (states/eV/cell) = 15.4
- mass density (Mg/m³) = 9.3
- volume (Å³ per atom) = 19.26

Unit cell a=6.1373 b=6.1373 c=6.1373 alpha=90.00 beta=90.00 gamma=90.00
Last column: nearest neighbours and their distance in Å.
Space group F-43m (No. 216)
Symmetry-distinct sites (fractional):
Tc1 0.0000 0.0000 0.0000 [4 per cell]  4 Sb 2.66, 4 Rh 2.66
Sb1 0.2500 0.2500 0.2500 [4 per cell]  4 Tc 2.66
Rh1 0.2500 0.2500 0.7500 [4 per cell]  4 Tc 2.66

Compound: AlV8W3
Source: Alexandria via LeMat-Bulk
Functional: PBE
Structure: relaxed

## Properties
- M_tot (μB per atom) = 0.000
- N(E_F) (states/eV/cell) = 33.9
- mass density (Mg/m³) = 9.6
- uncorrected energy (eV per atom) = -9.66
- volume (Å³ per atom) = 14.24

Unit cell a=4.9241 b=4.9241 c=24.4069 alpha=90.00 beta=90.00 gamma=120.00
Last column: nearest neighbours and their distance in Å.
Space group R3m (No. 160, hexagonal axes)
Symmetry-distinct sites (fractional):
Al1 0.0000 0.0000 0.0000 [3 per cell]  12 V 2.89-2.91, 4 W 3.02-3.07
V1 0.0000 0.0000 0.1865 [3 per cell]  6 V 2.47-2.48
V2 0.0000 0.0000 0.6884 [3 per cell]  6 V 2.46-2.52
V3 0.0004 0.5002 0.4373 [9 per cell]  6 V 2.46-2.47
V4 0.9997 0.4998 0.9366 [9 per cell]  6 V 2.46-2.52
W1 0.0000 0.0000 0.3755 [3 per cell]  12 V 2.89-2.94, 3 Al 3.02, 1 W 3.04
W2 0.0000 0.0000 0.4999 [3 per cell]  12 V 2.88-2.90, 4 W 3.01-3.04
W3 0.0000 0.0000 0.8740 [3 per cell]  12 V 2.89-2.90, 3 W 3.01, 1 Al 3.07

Compound: Pr8Ru3SeI4
Source: Alexandria via LeMat-Bulk
Functional: PBE
Structure: relaxed

## Properties
- formation energy without anion corrections (meV/atom) = -827.2
- M_tot (μB per atom) = 0.000
- N(E_F) (states/eV/cell) = 26.5
- mass density (Mg/m³) = 6.5
- volume (Å³ per atom) = 32.09

Unit cell a=8.5548 b=8.5548 c=24.3004 alpha=90.00 beta=90.00 gamma=120.00
Last column: nearest neighbours and their distance in Å.
Space group R-3m (No. 166, hexagonal axes)
Symmetry-distinct sites (fractional):
Pr1 0.0000 0.0000 0.2306 [6 per cell]  3 Ru 2.92
Pr2 0.0211 0.5106 0.7716 [18 per cell]  2 Ru 2.83, 1 Se 3.02
Ru1 0.0000 0.5000 0.5000 [9 per cell]  6 Pr 2.83-2.92
Se1 0.0000 0.0000 0.5000 [3 per cell]  6 Pr 3.02
I1 0.0000 0.0000 0.0000 [3 per cell]  6 Pr 3.44
I2 0.0000 0.5000 0.0000 [9 per cell]  6 Pr 3.51-3.61